Entry 1:
Tl3PtBr6 | PBE | optimized geometry

Summary:
symmetry: R-3 (148)

The structure in extended XYZ format:
```
20
Lattice="6.551 3.782 5.053 -6.551 3.782 5.053 0.000 -7.564 5.053" Properties=species:S:1:pos:R:3 pbc="T T T"
Tl -3.265 -3.254 7.059
Tl -4.451 1.200 8.100
Tl 1.186 -4.454 8.100
Tl -1.186 4.454 7.059
Tl 4.451 -1.200 7.059
Tl 3.265 3.254 8.100
Pt 0.000 0.000 0.000
Pt 0.000 0.000 7.580
Br -5.744 -1.823 8.611
Br -1.293 -5.886 6.548
Br -2.113 -0.227 6.103
Br -4.451 4.063 6.548
Br 1.254 -1.716 6.103
Br -0.860 -1.944 9.056
Br 0.860 1.944 6.103
Br -1.254 1.716 9.056
Br 4.451 -4.063 8.611
Br 2.113 0.227 9.056
Br 1.293 5.886 8.611
Br 5.744 1.823 6.548
```


Entry 2:
La2TbSm7 | PBE | optimized geometry

Summary:
symmetry: P-1 (2)
energy relative to the elements: 0.02 eV per atom
energy above the lowest structure with this stoichiometry: 0.000 eV per atom

The structure in extended XYZ format:
```
10
Lattice="5.168 0.000 0.000 0.013 7.299 0.000 2.584 1.826 9.123" Properties=species:S:1:pos:R:3 pbc="T T T"
La 1.294 0.922 0.928
La 6.471 8.203 8.195
Tb 1.298 4.562 4.562
Sm 1.292 0.913 4.562
Sm 1.299 4.556 0.935
Sm 3.884 6.368 6.368
Sm 3.878 2.751 6.351
Sm 3.887 6.374 2.772
Sm 3.880 2.757 2.755
Sm 6.466 4.569 8.188
```


Entry 3:
LiGa2Re | PBE | optimized geometry

Summary:
symmetry: Fm-3m (225)
energy relative to the elements: 0.02 eV per atom
energy above the lowest structure with this stoichiometry: 0.105 eV per atom

The structure in extended XYZ format:
```
16
Lattice="6.141 0.000 0.000 0.000 6.141 0.000 0.000 0.000 6.141" Properties=species:S:1:pos:R:3 pbc="T T T"
Li 0.000 0.000 0.000
Li 0.000 3.071 3.071
Li 3.071 0.000 3.071
Li 3.071 3.071 0.000
Ga 1.535 1.535 1.535
Ga 1.535 1.535 4.606
Ga 1.535 4.606 1.535
Ga 1.535 4.606 4.606
Ga 4.606 1.535 1.535
Ga 4.606 1.535 4.606
Ga 4.606 4.606 1.535
Ga 4.606 4.606 4.606
Re 0.000 0.000 3.071
Re 0.000 3.071 0.000
Re 3.071 0.000 0.000
Re 3.071 3.071 3.071
```


Entry 4:
NpSi2Ag | PBE | optimized geometry

Summary:
symmetry: R-3m (166)

The structure in extended XYZ format:
```
12
Lattice="4.269 0.000 0.000 -2.134 3.697 0.000 0.000 0.000 14.361" Properties=species:S:1:pos:R:3 pbc="T T T"
Np 0.000 0.000 0.000
Np 0.000 2.464 9.574
Np 2.134 1.232 4.787
Si 0.000 0.000 3.201
Si 0.000 0.000 11.160
Si 0.000 2.464 6.373
Si 0.000 2.464 12.775
Si 2.134 1.232 1.586
Si 2.134 1.232 7.988
Ag 0.000 0.000 7.181
Ag 0.000 2.464 2.394
Ag 2.134 1.232 11.968
```


Entry 5:
U3Fe2P4 | PBE | optimized geometry

Summary:
symmetry: C2/m (12)
energy relative to the elements: -0.80 eV per atom

The structure in extended XYZ format:
```
9
Lattice="5.981 -1.882 0.000 5.981 1.882 0.000 -4.547 0.000 6.720" Properties=species:S:1:pos:R:3 pbc="T T T"
U 0.000 0.000 0.000
U 3.258 0.000 2.160
U 4.157 0.000 4.560
Fe 0.896 0.000 4.247
Fe 6.520 0.000 2.473
P -0.659 0.000 2.655
P -0.418 0.000 6.060
P 7.834 0.000 0.661
P 8.075 0.000 4.066
```


Entry 6:
TaTl2MoN | PBE | optimized geometry

Summary:
symmetry: P4/mmm (123)

The structure in extended XYZ format:
```
5
Lattice="5.529 0.000 0.000 0.000 5.529 0.000 0.000 0.000 4.792" Properties=species:S:1:pos:R:3 pbc="T T T"
Ta 0.000 0.000 0.000
Tl 0.000 2.764 0.000
Tl 2.764 0.000 0.000
Mo 0.000 0.000 2.396
N 2.764 2.764 2.396
```


Entry 7:
GdTeH | PBE | optimized geometry

Summary:
symmetry: P2_1/m (11)

The structure in extended XYZ format:
```
6
Lattice="4.889 0.000 0.000 0.000 4.003 0.000 -0.950 0.000 6.454" Properties=species:S:1:pos:R:3 pbc="T T T"
Gd 0.789 1.001 1.284
Gd 3.151 3.002 5.170
Te 0.762 1.001 4.520
Te 3.178 3.002 1.933
H 0.674 3.002 0.283
H 3.265 1.001 6.171
```


Entry 8:
Li2ZnH | PBE | optimized geometry

Summary:
symmetry: P-3m1 (164)
energy above the lowest structure with this stoichiometry: 0.001 eV per atom

The structure in extended XYZ format:
```
4
Lattice="2.756 0.000 0.000 -1.378 2.387 0.000 0.000 0.000 6.997" Properties=species:S:1:pos:R:3 pbc="T T T"
Li 0.000 1.591 2.330
Li 1.378 0.796 4.667
Zn 0.000 0.000 0.000
H 0.000 0.000 3.498
```


Entry 9:
Sm2ThUAs4 | PBE | optimized geometry

Summary:
symmetry: P2/m (10)
energy relative to the elements: -1.30 eV per atom

The structure in extended XYZ format:
```
8
Lattice="7.248 0.000 0.000 0.000 4.187 0.000 -2.415 0.000 6.883" Properties=species:S:1:pos:R:3 pbc="T T T"
Sm 0.000 0.000 0.000
Sm 3.624 2.094 0.000
Th -1.208 2.094 3.441
U 2.417 0.000 3.441
As 0.043 0.000 5.145
As 1.248 2.094 1.758
As 3.585 2.094 5.125
As 4.790 0.000 1.737
```


Entry 10:
Pm2In3Rh4 | PBE | optimized geometry

Summary:
symmetry: Cmce (64)
energy relative to the elements: -0.62 eV per atom

The structure in extended XYZ format:
```
18
Lattice="2.979 -8.525 0.000 2.979 8.525 0.000 0.000 0.000 7.232" Properties=species:S:1:pos:R:3 pbc="T T T"
Pm 2.979 6.794 6.631
Pm 2.979 1.731 3.014
Pm 2.979 -1.731 4.218
Pm 2.979 -6.794 0.602
In 0.000 0.000 3.616
In 1.490 4.010 5.424
In 1.490 -4.010 1.808
In 2.979 0.000 0.000
In 4.469 4.010 5.424
In 4.469 -4.010 1.808
Rh 2.979 5.732 3.831
Rh 1.490 1.279 5.424
Rh 1.490 -1.279 1.808
Rh 2.979 2.794 0.215
Rh 2.979 -2.794 7.017
Rh 4.469 1.279 5.424
Rh 4.469 -1.279 1.808
Rh 2.979 -5.732 3.401
```


Entry 11:
La3Pr2Th | PBE | optimized geometry

Summary:
symmetry: P4/mmm (123)
energy relative to the elements: 0.12 eV per atom
energy above the lowest structure with this stoichiometry: 0.051 eV per atom

The structure in extended XYZ format:
```
6
Lattice="4.369 0.000 0.000 0.000 4.369 0.000 0.000 0.000 11.219" Properties=species:S:1:pos:R:3 pbc="T T T"
La 0.000 0.000 0.000
La 0.000 0.000 3.920
La 0.000 0.000 7.299
Pr 2.185 2.185 2.006
Pr 2.185 2.185 9.213
Th 2.185 2.185 5.610
```


Entry 12:
Mg5TlBi4 | PBE | optimized geometry

Summary:
symmetry: Immm (71)
energy relative to the elements: -0.12 eV per atom

The structure in extended XYZ format:
```
10
Lattice="-2.379 4.137 8.264 2.379 -4.137 8.264 2.379 4.137 -8.264" Properties=species:S:1:pos:R:3 pbc="T T T"
Mg 0.000 0.000 0.000
Mg 2.379 2.480 -2.824
Mg 2.379 2.480 2.824
Mg 0.000 1.657 5.440
Mg 0.000 1.657 11.088
Tl 0.000 4.137 0.000
Bi 2.379 1.753 0.000
Bi 2.379 0.000 4.506
Bi 0.000 4.137 3.758
Bi 0.000 2.384 8.264
```


Entry 13:
SrTlRh3 | PBE | optimized geometry

Summary:
symmetry: Pm-3m (221)
energy relative to the elements: 0.74 eV per atom
energy above the lowest structure with this stoichiometry: 0.000 eV per atom

The structure in extended XYZ format:
```
5
Lattice="5.046 0.000 0.000 0.000 5.046 0.000 0.000 0.000 5.046" Properties=species:S:1:pos:R:3 pbc="T T T"
Sr 0.000 0.000 0.000
Tl 2.523 2.523 2.523
Rh 0.000 2.523 2.523
Rh 2.523 0.000 2.523
Rh 2.523 2.523 0.000
```


Entry 14:
NdGdIr2 | PBE | optimized geometry

Summary:
symmetry: Fm-3m (225)
energy relative to the elements: -0.63 eV per atom
energy above the lowest structure with this stoichiometry: 0.000 eV per atom

The structure in extended XYZ format:
```
16
Lattice="7.012 0.000 0.000 0.000 7.012 0.000 0.000 0.000 7.012" Properties=species:S:1:pos:R:3 pbc="T T T"
Nd 0.000 0.000 0.000
Nd 0.000 3.506 3.506
Nd 3.506 0.000 3.506
Nd 3.506 3.506 0.000
Gd 0.000 0.000 3.506
Gd 0.000 3.506 0.000
Gd 3.506 0.000 0.000
Gd 3.506 3.506 3.506
Ir 1.753 1.753 1.753
Ir 1.753 1.753 5.259
Ir 1.753 5.259 1.753
Ir 1.753 5.259 5.259
Ir 5.259 1.753 1.753
Ir 5.259 1.753 5.259
Ir 5.259 5.259 1.753
Ir 5.259 5.259 5.259
```


Entry 15:
MgBeCr4 | PBE | optimized geometry

Summary:
symmetry: F-43m (216)
energy relative to the elements: 0.50 eV per atom

The structure in extended XYZ format:
```
6
Lattice="0.000 3.382 3.382 3.382 0.000 3.382 3.382 3.382 0.000" Properties=species:S:1:pos:R:3 pbc="T T T"
Mg 0.000 0.000 0.000
Be 1.691 1.691 1.691
Cr 4.224 2.541 2.541
Cr 2.541 4.224 2.541
Cr 2.541 2.541 4.224
Cr 4.224 4.224 4.224
```


Entry 16:
MgTe2Br | PBE | optimized geometry

Summary:
symmetry: R-3m (166)
energy above the lowest structure with this stoichiometry: 0.802 eV per atom

The structure in extended XYZ format:
```
12
Lattice="3.413 0.000 0.000 -1.707 2.956 0.000 0.000 0.000 34.248" Properties=species:S:1:pos:R:3 pbc="T T T"
Mg 0.000 0.000 0.000
Mg 0.000 1.971 22.832
Mg 1.707 0.985 11.416
Te 0.000 0.000 2.763
Te 0.000 0.000 31.485
Te 0.000 1.971 20.069
Te 0.000 1.971 25.595
Te 1.707 0.985 8.653
Te 1.707 0.985 14.179
Br 0.000 0.000 17.124
Br 0.000 1.971 5.708
Br 1.707 0.985 28.540
```


Entry 17:
TaPbCl2 | PBE | optimized geometry

Summary:
symmetry: Pm (6)
energy above the lowest structure with this stoichiometry: 0.241 eV per atom

The structure in extended XYZ format:
```
4
Lattice="3.161 0.000 0.000 0.000 4.663 0.000 -1.510 0.000 6.664" Properties=species:S:1:pos:R:3 pbc="T T T"
Ta 0.000 0.000 0.000
Pb 0.072 2.331 4.827
Cl -0.001 2.331 0.894
Cl 1.580 0.000 1.941
```


Entry 18:
VGe2Au | PBE | optimized geometry

Summary:
symmetry: R-3m (166)
energy relative to the elements: 0.00 eV per atom
energy above the lowest structure with this stoichiometry: 0.000 eV per atom

The structure in extended XYZ format:
```
12
Lattice="2.946 0.000 0.000 -1.473 2.551 0.000 0.000 0.000 27.163" Properties=species:S:1:pos:R:3 pbc="T T T"
V 0.000 0.000 0.000
V 0.000 1.701 18.109
V 1.473 0.850 9.054
Ge 0.000 0.000 11.050
Ge 0.000 0.000 16.113
Ge 0.000 1.701 1.996
Ge 0.000 1.701 7.059
Ge 1.473 0.850 20.104
Ge 1.473 0.850 25.167
Au 0.000 0.000 13.581
Au 0.000 1.701 4.527
Au 1.473 0.850 22.636
```


Entry 19:
YFe2Se | PBE | optimized geometry

Summary:
symmetry: P4/mmm (123)

The structure in extended XYZ format:
```
4
Lattice="3.535 0.000 0.000 0.000 3.535 0.000 0.000 0.000 5.687" Properties=species:S:1:pos:R:3 pbc="T T T"
Y 0.000 0.000 0.000
Fe 1.768 1.768 1.663
Fe 1.768 1.768 4.025
Se 0.000 0.000 2.844
```


Entry 20:
CuRh | PBE | optimized geometry

Summary:
symmetry: P-3m1 (164)
energy relative to the elements: 0.07 eV per atom

The structure in extended XYZ format:
```
4
Lattice="2.680 0.000 0.000 -1.340 2.321 0.000 0.000 0.000 8.591" Properties=species:S:1:pos:R:3 pbc="T T T"
Cu 0.000 1.548 3.279
Cu 1.340 0.774 5.312
Rh 0.000 1.548 7.490
Rh 1.340 0.774 1.101
```


Number 1: calculated density 5.7 Mg/m³, calculated total energy -2.8818 eV per atom. Number 2: calculated density 7.2 Mg/m³, calculated total energy -4.7317 eV per atom. Number 3: calculated density 9.5 Mg/m³, calculated total energy -5.0797 eV per atom. Number 4: calculated density 8.8 Mg/m³, calculated total energy -6.5725 eV per atom. Number 5: calculated density 10.4 Mg/m³, calculated total energy -8.8480 eV per atom. Number 6: calculated density 7.9 Mg/m³, calculated total energy -4.9024 eV per atom. Number 7: calculated density 7.5 Mg/m³, calculated total energy -7.9417 eV per atom. Number 8: calculated density 2.9 Mg/m³, calculated total energy -2.3526 eV per atom. Number 9: calculated density 8.5 Mg/m³, calculated total energy -7.1387 eV per atom. Number 10: calculated density 9.5 Mg/m³, calculated total energy -5.8513 eV per atom. Number 11: calculated density 7.2 Mg/m³, calculated total energy -5.1743 eV per atom. Number 12: calculated density 5.9 Mg/m³, calculated total energy -2.7041 eV per atom. Number 13: calculated density 7.8 Mg/m³, calculated total energy -4.4779 eV per atom. Number 14: calculated density 13.2 Mg/m³, calculated total energy -9.7721 eV per atom. Number 15: calculated density 5.2 Mg/m³, calculated total energy -6.8050 eV per atom. Number 16: calculated density 5.2 Mg/m³, calculated total energy -2.2133 eV per atom. Number 17: calculated density 7.8 Mg/m³, calculated total energy -5.0610 eV per atom. Number 18: calculated density 9.6 Mg/m³, calculated total energy -5.4104 eV per atom. Number 19: calculated density 6.5 Mg/m³, calculated total energy -6.7249 eV per atom. Number 20: calculated density 10.3 Mg/m³, calculated total energy -5.6585 eV per atom.